1.
Here is Co2Ge3Se3 at its PBEsol-relaxed geometry from the Alexandria database. Energies are from SCAN.

The space group is R-3 (No. 148, hexagonal axes) and the conventional cell measures 11.6192, 11.6192 and 14.2621 Å, with angles of 90.00, 90.00 and 120.00 degrees. The distinct sites, in fractional coordinates, are Co at (0.0000, 0.0000, 0.2490), Co at (0.0007, 0.5010, 0.7525), Ge at (0.0029, 0.1665, 0.3389), Ge at (0.0568, 0.7851, 0.9437), Se at (0.0171, 0.1797, 0.8340) and Se at (0.0535, 0.6015, 0.1013).

The value obtained for the energy relative to the elements, uncorrected is -258 kJ/mol of formula units. The total energy comes out at -1857.37 eV per cell.

2.
Here is Co3GeSe at its PBEsol-relaxed geometry from the Alexandria database. Energies are from SCAN.

The space group is Pm-3m (No. 221) and the conventional cell measures 4.277, 4.277 and 4.277 Å, with angles of 90.00, 90.00 and 90.00 degrees. The distinct sites, in fractional coordinates, are Co at (0.000, 0.000, 0.500), Ge at (0.000, 0.000, 0.000) and Se at (0.500, 0.500, 0.500).

The calculation puts the density of states at the Fermi level at 0.525 states/eV/atom. The value obtained for the energy relative to the elements, uncorrected is 454 kJ/mol of formula units. The total energy comes out at -86.37 eV per cell.

3.
Here is CoGeSe2 at its PBEsol-relaxed geometry from the Alexandria database. Energies are from SCAN.

The space group is R-3m (No. 166, hexagonal axes) and the conventional cell measures 3.6717, 3.6717 and 22.2414 Å, with angles of 90.00, 90.00 and 120.00 degrees. The distinct sites, in fractional coordinates, are Co at (0.0000, 0.0000, 0.0000), Ge at (0.0000, 0.0000, 0.5000) and Se at (0.0000, 0.0000, 0.0993).

The calculation puts the density of states at the Fermi level at 0.557 states/eV/atom. The value obtained for the energy relative to the elements, uncorrected is 81 kJ/mol of formula units. The total energy comes out at -227.11 eV per cell.

4.
Here is Y2CoGeSe at its PBEsol-relaxed geometry from the Alexandria database. Energies are from SCAN.

The space group is P4/mmm (No. 123) and the conventional cell measures 5.344, 5.344 and 4.827 Å, with angles of 90.00, 90.00 and 90.00 degrees. The distinct sites, in fractional coordinates, are Y at (0.000, 0.500, 0.000), Co at (0.000, 0.000, 0.500), Ge at (0.500, 0.500, 0.000) and Se at (0.500, 0.500, 0.500).

The calculation puts the density of states at the Fermi level at 0.781 states/eV/atom. The value obtained for the energy relative to the elements, uncorrected is 127 kJ/mol of formula units. The total energy comes out at -110.84 eV per cell.

5.
Here is Co2SiGe at its PBEsol-relaxed geometry from the Alexandria database. Energies are from SCAN.

The space group is P2_1 (No. 4) and the conventional cell measures 4.472, 4.473 and 4.482 Å, with angles of 90.00, 90.53 and 90.00 degrees. The distinct sites, in fractional coordinates, are Co at (0.138, 0.000, 0.386), Co at (0.353, 0.284, 0.897), Si at (0.156, 0.802, 0.912) and Ge at (0.340, 0.486, 0.406).

The calculation puts the density of states at the Fermi level at 0.433 states/eV/atom. The value obtained for the energy relative to the elements, uncorrected is -118 kJ/mol of formula units. The total energy comes out at -129.86 eV per cell.

6.
Here is CoSiGeW2 at its PBEsol-relaxed geometry from the Alexandria database. Energies are from SCAN.

The space group is P4/mmm (No. 123) and the conventional cell measures 4.574, 4.574 and 4.365 Å, with angles of 90.00, 90.00 and 90.00 degrees. The distinct sites, in fractional coordinates, are Co at (0.000, 0.000, 0.000), Si at (0.500, 0.500, 0.000), Ge at (0.500, 0.500, 0.500) and W at (0.000, 0.500, 0.500).

The calculation puts the density of states at the Fermi level at 0.881 states/eV/atom. The value obtained for the energy relative to the elements, uncorrected is 1010 kJ/mol of formula units. The total energy comes out at -175.32 eV per cell.

7.
Here is Sm2Co3Ge5 at its PBEsol-relaxed geometry from the Alexandria database. Energies are from SCAN.

The space group is C2/c (No. 15) and the conventional cell measures 11.003, 11.733 and 5.704 Å, with angles of 90.00, 119.49 and 90.00 degrees. The distinct sites, in fractional coordinates, are Sm at (0.234, 0.137, 0.234), Co at (0.000, 0.495, 0.750), Co at (0.099, 0.139, 0.621), Ge at (0.000, 0.009, 0.250), Ge at (0.000, 0.269, 0.250), Ge at (0.000, 0.283, 0.750) and Ge at (0.166, 0.406, 0.171).

The value obtained for the formation energy is -0.615 eV/atom. The calculation puts the density of states at the Fermi level at 0.430 states/eV/atom. The total energy comes out at -969.54 eV per cell.

8.
Here is Co3SnGe at its PBEsol-relaxed geometry from the Alexandria database. Energies are from SCAN.

The space group is Pm-3m (No. 221) and the conventional cell measures 4.250, 4.250 and 4.250 Å, with angles of 90.00, 90.00 and 90.00 degrees. The distinct sites, in fractional coordinates, are Co at (0.000, 0.000, 0.500), Sn at (0.500, 0.500, 0.500) and Ge at (0.000, 0.000, 0.000).

The value obtained for the formation energy is 0.724 eV/atom. The calculation puts the density of states at the Fermi level at 0.485 states/eV/atom. The total energy comes out at -103.30 eV per cell.

9.
Here is TlCo2SnGe at its PBEsol-relaxed geometry from the Alexandria database. Energies are from SCAN.

The space group is P4/mmm (No. 123) and the conventional cell measures 4.774, 4.774 and 5.086 Å, with angles of 90.00, 90.00 and 90.00 degrees. The distinct sites, in fractional coordinates, are Tl at (0.000, 0.000, 0.000), Co at (0.000, 0.500, 0.000), Sn at (0.500, 0.500, 0.500) and Ge at (0.000, 0.000, 0.500).

The value obtained for the formation energy is 1.276 eV/atom. The calculation puts the density of states at the Fermi level at 0.803 states/eV/atom. The total energy comes out at -155.59 eV per cell.

10.
Here is SrCo3Ge at its PBEsol-relaxed geometry from the Alexandria database. Energies are from SCAN.

The space group is Pm-3m (No. 221) and the conventional cell measures 4.439, 4.439 and 4.439 Å, with angles of 90.00, 90.00 and 90.00 degrees. The distinct sites, in fractional coordinates, are Sr at (0.000, 0.000, 0.000), Co at (0.000, 0.500, 0.500) and Ge at (0.500, 0.500, 0.500).

The value obtained for the formation energy is 0.435 eV/atom. The calculation puts the density of states at the Fermi level at 1.049 states/eV/atom. The total energy comes out at -91.10 eV per cell.

11.
Here is Tb3Co2Ge3 at its PBEsol-relaxed geometry from the Alexandria database. Energies are from SCAN.

The space group is Cmcm (No. 63) and the conventional cell measures 4.123, 10.319 and 13.858 Å, with angles of 90.00, 90.00 and 90.00 degrees. The distinct sites, in fractional coordinates, are Tb at (0.000, 0.081, 0.109), Tb at (0.000, 0.360, 0.250), Co at (0.000, 0.208, 0.597), Ge at (0.000, 0.336, 0.750) and Ge at (0.000, 0.368, 0.039).

The value obtained for the formation energy is -0.722 eV/atom. The calculation puts the density of states at the Fermi level at 0.652 states/eV/atom. The total energy comes out at -951.73 eV per cell.

12.
Here is TbCo2Ge2 at its PBEsol-relaxed geometry from the Alexandria database. Energies are from SCAN.

The space group is I4/mmm (No. 139) and the conventional cell measures 3.905, 3.905 and 9.998 Å, with angles of 90.00, 90.00 and 90.00 degrees. The distinct sites, in fractional coordinates, are Tb at (0.000, 0.000, 0.000), Co at (0.000, 0.500, 0.250) and Ge at (0.000, 0.000, 0.372).

The value obtained for the formation energy is -0.623 eV/atom. The calculation puts the density of states at the Fermi level at 0.372 states/eV/atom. The total energy comes out at -245.32 eV per cell.

13.
Here is CoGeTe at its PBEsol-relaxed geometry from the Alexandria database. Energies are from SCAN.

The space group is Pbca (No. 61) and the conventional cell measures 6.109, 6.150 and 10.989 Å, with angles of 90.00, 90.00 and 90.00 degrees. The distinct sites, in fractional coordinates, are Co at (0.002, 0.107, 0.111), Ge at (0.168, 0.226, 0.932) and Te at (0.119, 0.012, 0.676).

The calculation puts the density of states at the Fermi level at 0.020 states/eV/atom. The value obtained for the energy relative to the elements, uncorrected is -54 kJ/mol of formula units. The total energy comes out at -593.61 eV per cell.

14.
Here is ThCoGe2 at its PBEsol-relaxed geometry from the Alexandria database. Energies are from SCAN.

The space group is Cmcm (No. 63) and the conventional cell measures 4.145, 16.546 and 4.194 Å, with angles of 90.00, 90.00 and 90.00 degrees. The distinct sites, in fractional coordinates, are Th at (0.000, 0.109, 0.250), Co at (0.000, 0.320, 0.250), Ge at (0.000, 0.250, 0.750) and Ge at (0.000, 0.457, 0.250).

The value obtained for the formation energy is -0.669 eV/atom. The calculation puts the density of states at the Fermi level at 0.510 states/eV/atom. The total energy comes out at -616.29 eV per cell.

15.
Here is Ti3CoGe at its PBEsol-relaxed geometry from the Alexandria database. Energies are from SCAN.

The space group is Pm-3m (No. 221) and the conventional cell measures 4.394, 4.394 and 4.394 Å, with angles of 90.00, 90.00 and 90.00 degrees. The distinct sites, in fractional coordinates, are Ti at (0.000, 0.000, 0.500), Co at (0.000, 0.000, 0.000) and Ge at (0.500, 0.500, 0.500).

The value obtained for the formation energy is 0.045 eV/atom. The calculation puts the density of states at the Fermi level at 0.996 states/eV/atom. The total energy comes out at -84.26 eV per cell.

16.
Here is Ti6Co16Ge7 at its PBEsol-relaxed geometry from the Alexandria database. Energies are from SCAN.

The space group is Fm-3m (No. 225) and the conventional cell measures 11.156, 11.156 and 11.156 Å, with angles of 90.00, 90.00 and 90.00 degrees. The distinct sites, in fractional coordinates, are Ti at (0.000, 0.000, 0.200), Co at (0.120, 0.120, 0.380), Co at (0.166, 0.166, 0.166), Ge at (0.000, 0.000, 0.500) and Ge at (0.000, 0.250, 0.250).

The value obtained for the formation energy is -0.336 eV/atom. The calculation puts the density of states at the Fermi level at 0.682 states/eV/atom. The total energy comes out at -2065.63 eV per cell.

17.
Here is TmCoGe at its PBEsol-relaxed geometry from the Alexandria database. Energies are from SCAN.

The space group is Pnma (No. 62) and the conventional cell measures 6.706, 4.144 and 6.998 Å, with angles of 90.00, 90.00 and 90.00 degrees. The distinct sites, in fractional coordinates, are Tm at (0.011, 0.250, 0.197), Co at (0.154, 0.750, 0.434) and Ge at (0.204, 0.250, 0.604).

The value obtained for the formation energy is -0.693 eV/atom. The calculation puts the density of states at the Fermi level at 0.510 states/eV/atom. The total energy comes out at -361.21 eV per cell.

18.
Here is UCo2Ge2 at its PBEsol-relaxed geometry from the Alexandria database. Energies are from SCAN.

The space group is P4/nmm (No. 129, origin choice 2) and the conventional cell measures 3.990, 3.990 and 9.261 Å, with angles of 90.00, 90.00 and 90.00 degrees. The distinct sites, in fractional coordinates, are U at (0.250, 0.250, 0.243), Co at (0.250, 0.250, 0.629), Co at (0.250, 0.750, 0.000), Ge at (0.250, 0.250, 0.870) and Ge at (0.250, 0.750, 0.500).

The value obtained for the formation energy is -0.292 eV/atom. The calculation puts the density of states at the Fermi level at 0.675 states/eV/atom. The total energy comes out at -355.54 eV per cell.

19.
Here is U2Co3Ge at its PBEsol-relaxed geometry from the Alexandria database. Energies are from SCAN.

The space group is P6_3/mmc (No. 194) and the conventional cell measures 5.0766, 5.0766 and 7.5140 Å, with angles of 90.00, 90.00 and 120.00 degrees. The distinct sites, in fractional coordinates, are U at (0.3333, 0.6667, 0.0744), Co at (0.1705, 0.3410, 0.7500) and Ge at (0.0000, 0.0000, 0.0000).

The value obtained for the formation energy is -0.230 eV/atom. The calculation puts the density of states at the Fermi level at 1.225 states/eV/atom. The total energy comes out at -558.86 eV per cell.

20.
Here is Y3Co4Ge13 at its PBEsol-relaxed geometry from the Alexandria database. Energies are from SCAN.

The space group is Pm-3n (No. 223) and the conventional cell measures 8.660, 8.660 and 8.660 Å, with angles of 90.00, 90.00 and 90.00 degrees. The distinct sites, in fractional coordinates, are Y at (0.000, 0.250, 0.500), Co at (0.250, 0.250, 0.250), Ge at (0.000, 0.000, 0.000) and Ge at (0.000, 0.303, 0.153).

The value obtained for the formation energy is -0.426 eV/atom. The calculation puts the density of states at the Fermi level at 0.299 states/eV/atom. The total energy comes out at -818.82 eV per cell.